Density functional theory data (PBE) for a relaxed structure of Cd12Ga5Hg2.

**Total magnetic moment**: 0.0 μB per formula unit
**Total energy**: -1.340 eV/atom
**N(E_F)**: 6.33 states/eV per cell
**Energy of formation from the pure elements**: 0.07 eV per atom
**Distance to the lowest polymorph of the same formula**: 0.013 eV per atom
**Symmetry**: C2/m

a = 8.267 Å, b = 7.395 Å, c = 9.015 Å
α = 96.88°, β = 90.00°, γ = 123.98°
Fractional coordinates of all 19 atoms:
Cd 0.094 0.187 0.237
Cd 0.914 0.463 0.149
Cd 0.429 0.245 0.568
Cd 0.906 0.813 0.763
Cd 0.571 0.755 0.432
Cd 0.537 0.074 0.261
Cd 0.086 0.537 0.851
Cd 0.463 0.926 0.739
Cd 0.184 0.755 0.432
Cd 0.550 0.463 0.149
Cd 0.450 0.537 0.851
Cd 0.816 0.245 0.568
Ga 0.687 0.374 0.863
Ga 0.770 0.540 0.423
Ga 0.000 0.000 0.500
Ga 0.230 0.460 0.577
Ga 0.313 0.626 0.137
Hg 0.758 0.000 0.000
Hg 0.242 0.000 0.000

=====

Density functional theory data (PBE) for a relaxed structure of Na2LaInCl6.

**Total magnetic moment**: 0.0 μB per formula unit
**Total energy**: -3.973 eV/atom
**N(E_F)**: 0.00 states/eV per cell
**Symmetry**: R3
**Formation energy (no corrections)**: -42.30 kcal/mol of atoms

a = 7.352 Å, b = 7.351 Å, c = 7.848 Å
α = 62.06°, β = 62.06°, γ = 59.97°
Fractional coordinates of all 10 atoms:
Na 0.009 0.009 0.973
Na 0.520 0.520 0.441
Cl 0.157 0.365 0.756
Cl 0.723 0.156 0.756
Cl 0.599 0.242 0.236
Cl 0.923 0.599 0.236
Cl 0.365 0.722 0.756
Cl 0.242 0.923 0.236
In 0.804 0.804 0.586
La 0.320 0.320 0.039

=====

Density functional theory data (PBE) for a relaxed structure of Zn2FeSe.

**Total magnetic moment**: 0.0 μB per formula unit
**Total energy**: -3.359 eV/atom
**N(E_F)**: 0.11 states/eV per cell
**Symmetry**: I4_1/amd
**Formation energy (no corrections)**: 6.10 kcal/mol of atoms

a = 9.322 Å, b = 9.322 Å, c = 6.935 Å
α = 47.77°, β = 47.77°, γ = 90.00°
Fractional coordinates of all 8 atoms:
Se 0.750 0.250 0.500
Se 0.000 0.000 0.000
Zn 0.375 0.625 0.750
Zn 0.375 0.125 0.250
Zn 0.875 0.625 0.750
Zn 0.375 0.625 0.250
Fe 0.500 0.500 0.000
Fe 0.250 0.750 0.500

=====

Density functional theory data (PBE) for a relaxed structure of Al2PbBr.

**Total magnetic moment**: 0.0 μB per formula unit
**Total energy**: -3.002 eV/atom
**N(E_F)**: 1.60 states/eV per cell
**Distance to the lowest polymorph of the same formula**: 0.298 eV per atom
**Symmetry**: Pmmm
**Formation energy (no corrections)**: 4.95 kcal/mol of atoms

a = 3.309 Å, b = 5.112 Å, c = 6.089 Å
α = 90.00°, β = 90.00°, γ = 90.00°
Fractional coordinates of all 4 atoms:
Br 0.500 0.500 0.250
Al 0.000 0.000 0.012
Al 0.000 0.000 0.488
Pb 0.500 0.500 0.750